Entry 1:
# FeSnPCl2

A relaxed structure of FeSnPCl2 (PBE-GGA, Alexandria).

## Properties
E_tot   -4.340 eV/atom

Cell lengths 4.6797, 4.6797, 4.8682 Å; angles 90.00, 90.00, 90.00 degrees
Each line ends with the local moment (μB).
Fractional coordinates of all 5 atoms:
Cl1 0.0000 0.5000 0.0000  0.06
Cl2 0.5000 0.0000 0.0000  0.06
Fe1 0.0000 0.0000 0.0000  3.01
Sn1 0.5000 0.5000 0.5000  0.07
P1 0.0000 0.0000 0.5000  0.06

Entry 2:
# FeSnP2Cl

A relaxed structure of FeSnP2Cl (PBE-GGA, Alexandria).

## Properties
E_tot   -4.809 eV/atom

Cell lengths 4.2869, 4.2869, 5.1389 Å; angles 90.00, 90.00, 90.00 degrees
Fractional coordinates of all 5 atoms:
P1 0.5000 0.0000 0.0000
P2 0.0000 0.5000 0.0000
Fe1 0.0000 0.0000 0.0000
Sn1 0.5000 0.5000 0.5000
Cl1 0.0000 0.0000 0.5000

Entry 3:
# SrFeP2Cl

A relaxed structure of SrFeP2Cl (PBE-GGA, Alexandria).

## Properties
E_tot   -5.140 eV/atom

Cell lengths 4.3662, 4.3662, 5.7193 Å; angles 90.00, 90.00, 90.00 degrees
Each line ends with the local moment (μB).
Fractional coordinates of all 5 atoms:
P1 0.0000 0.5000 0.0000  0.07
P2 0.5000 0.0000 0.0000  0.07
Fe1 0.0000 0.0000 0.0000  2.29
Cl1 0.0000 0.0000 0.5000  0.07
Sr1 0.5000 0.5000 0.5000  0.03

Entry 4:
# SrFeP2Cl

A relaxed structure of SrFeP2Cl (PBE-GGA, Alexandria).

## Properties
E_tot   -3.526 eV/atom

Cell lengths 5.7776, 5.7776, 5.3572 Å; angles 90.00, 90.00, 90.00 degrees
Each line ends with the local moment (μB).
Fractional coordinates of all 5 atoms:
Fe1 0.5000 0.5000 0.5000  3.52
Cl1 0.0000 0.0000 0.5000  -0.06
P1 0.0000 0.5000 0.0000  -0.50
P2 0.5000 0.0000 0.0000  -0.50
Sr1 0.0000 0.0000 0.0000  -0.03

Entry 5:
# TaFeP2Cl

A relaxed structure of TaFeP2Cl (PBE-GGA, Alexandria).

## Properties
E_tot   -6.036 eV/atom

Cell lengths 4.8453, 4.8453, 4.7639 Å; angles 90.00, 90.00, 90.00 degrees
Each line ends with the local moment (μB).
Fractional coordinates of all 5 atoms:
Cl1 0.0000 0.0000 0.5000  0.03
Fe1 0.5000 0.5000 0.5000  3.35
P1 0.5000 0.0000 0.0000  -0.01
P2 0.0000 0.5000 0.0000  -0.01
Ta1 0.0000 0.0000 0.0000  0.08

Entry 6:
# TaFeP2Cl

A relaxed structure of TaFeP2Cl (PBE-GGA, Alexandria).

## Properties
E_tot   -5.839 eV/atom

Cell lengths 4.3269, 4.3269, 4.5175 Å; angles 90.00, 90.00, 90.00 degrees
Each line ends with the local moment (μB).
Fractional coordinates of all 5 atoms:
P1 0.5000 0.0000 0.0000  -0.04
P2 0.0000 0.5000 0.0000  -0.04
Cl1 0.0000 0.0000 0.5000  -0.03
Fe1 0.0000 0.0000 0.0000  1.11
Ta1 0.5000 0.5000 0.5000  1.20

Entry 7:
# FeTcPCl2

A relaxed structure of FeTcPCl2 (PBE-GGA, Alexandria).

## Properties
E_tot   -4.921 eV/atom

Cell lengths 4.8669, 4.8669, 4.5669 Å; angles 90.00, 90.00, 90.00 degrees
Each line ends with the local moment (μB).
Fractional coordinates of all 5 atoms:
P1 0.0000 0.0000 0.5000  -0.01
Fe1 0.5000 0.5000 0.5000  3.39
Cl1 0.0000 0.5000 0.0000  0.03
Cl2 0.5000 0.0000 0.0000  0.03
Tc1 0.0000 0.0000 0.0000  0.13

Entry 8:
# FeTcPCl2

A relaxed structure of FeTcPCl2 (PBE-GGA, Alexandria).

## Properties
E_tot   -4.866 eV/atom

Cell lengths 4.3876, 4.3876, 5.1795 Å; angles 90.00, 90.00, 90.00 degrees
Each line ends with the local moment (μB).
Fractional coordinates of all 5 atoms:
Tc1 0.5000 0.5000 0.5000  3.66
Cl1 0.5000 0.0000 0.0000  0.11
Cl2 0.0000 0.5000 0.0000  0.11
Fe1 0.0000 0.0000 0.0000  2.44
P1 0.0000 0.0000 0.5000  -0.10

Computed formation energy (no corrections), in the same sequence as the records: -0.03, 0.22, -0.58, 1.04, 0.56, 0.76, 0.67, 0.72 eV per atom.
Computed volume, in the same sequence as the records: 21.3, 18.9, 21.8, 35.8, 22.4, 16.9, 21.6, 19.9 Å³/atom.
Computed energy above the most stable polymorph in this dataset, in the same sequence as the records: 0, 0, 0, 1613, 0, 198, 0, 55 meV/atom.